Entry 1:
VASP calculation (PBE) on an optimized crystal structure of Mg2BPRh.

## Properties
Formation energy ... 0.358 eV/atom
Symmetry ... P4/mmm
E_tot ... -4.167 eV per atom

Cell and atoms, written as POSCAR:
```
Mg2BPRh
1.0
4.964 0.000 0.000
0.000 4.964 0.000
0.000 0.000 3.888
Mg B P Rh
2 1 1 1
direct
0.000 0.500 0.000
0.500 0.000 0.000
0.000 0.000 0.500
0.500 0.500 0.500
0.000 0.000 0.000
```

Entry 2:
VASP calculation (PBE) on an optimized crystal structure of MgBP2S.

## Properties
Symmetry ... P4/mmm
E_tot ... -4.238 eV per atom

Cell and atoms, written as POSCAR:
```
MgBP2S
1.0
3.754 0.000 0.000
0.000 3.754 0.000
0.000 0.000 7.768
Mg B P S
1 1 2 1
direct
0.000 0.000 0.000
0.500 0.500 0.500
0.000 0.500 0.500
0.500 0.000 0.500
0.500 0.500 0.000
```

Entry 3:
VASP calculation (PBE) on an optimized crystal structure of MgBP2S.

## Properties
Symmetry ... P4/mmm
E_tot ... -3.008 eV per atom

Cell and atoms, written as POSCAR:
```
MgBP2S
1.0
4.804 0.000 0.000
0.000 4.804 0.000
0.000 0.000 4.750
Mg B P S
1 1 2 1
direct
0.000 0.000 0.000
0.500 0.500 0.500
0.000 0.500 0.000
0.500 0.000 0.000
0.000 0.000 0.500
```

Entry 4:
VASP calculation (PBE) on an optimized crystal structure of Mg2ScBP.

## Properties
Formation energy ... 0.481 eV/atom
Symmetry ... P4/mmm
E_tot ... -3.841 eV per atom

Cell and atoms, written as POSCAR:
```
Mg2ScBP
1.0
4.678 0.000 0.000
0.000 4.678 0.000
0.000 0.000 4.902
Mg Sc B P
2 1 1 1
direct
0.000 0.500 0.000
0.500 0.000 0.000
0.000 0.000 0.500
0.500 0.500 0.500
0.000 0.000 0.000
```

Entry 5:
VASP calculation (PBE) on an optimized crystal structure of Mg2TlBP.

## Properties
Formation energy ... 0.938 eV/atom
Symmetry ... P4/mmm
E_tot ... -2.591 eV per atom

Cell and atoms, written as POSCAR:
```
Mg2TlBP
1.0
4.769 0.000 0.000
0.000 4.769 0.000
0.000 0.000 5.392
Mg Tl B P
2 1 1 1
direct
0.000 0.500 0.000
0.500 0.000 0.000
0.000 0.000 0.500
0.500 0.500 0.500
0.000 0.000 0.000
```

Entry 6:
VASP calculation (PBE) on an optimized crystal structure of Mg2VBP.

## Properties
Formation energy ... 1.273 eV/atom
Symmetry ... P4/mmm
E_tot ... -3.606 eV per atom

Cell and atoms, written as POSCAR:
```
Mg2VBP
1.0
5.153 0.000 0.000
0.000 5.153 0.000
0.000 0.000 4.413
Mg V B P
2 1 1 1
direct
0.000 0.500 0.000
0.500 0.000 0.000
0.000 0.000 0.000
0.500 0.500 0.500
0.000 0.000 0.500
```

Entry 7:
VASP calculation (PBE) on an optimized crystal structure of MgPaB4.

## Properties
Formation energy ... -0.389 eV/atom
Symmetry ... Pbam
E_tot ... -6.689 eV per atom

Cell and atoms, written as POSCAR:
```
MgPaB4
1.0
6.035 0.000 0.000
0.000 11.699 0.000
0.000 0.000 3.699
Mg Pa B
4 4 16
direct
0.136 0.089 0.000
0.364 0.589 0.000
0.636 0.411 0.000
0.864 0.911 0.000
0.126 0.348 0.000
0.374 0.848 0.000
0.626 0.152 0.000
0.874 0.652 0.000
0.031 0.807 0.500
0.116 0.953 0.500
0.131 0.530 0.500
0.210 0.689 0.500
0.290 0.189 0.500
0.369 0.030 0.500
0.384 0.453 0.500
0.469 0.307 0.500
0.531 0.693 0.500
0.616 0.547 0.500
0.631 0.970 0.500
0.710 0.811 0.500
0.790 0.311 0.500
0.869 0.470 0.500
0.884 0.047 0.500
0.969 0.193 0.500
```

Entry 8:
VASP calculation (PBE) on an optimized crystal structure of MgPaB12.

## Properties
Formation energy ... -0.164 eV/atom
Symmetry ... P4/mmm
E_tot ... -6.680 eV per atom

Cell and atoms, written as POSCAR:
```
MgPaB12
1.0
4.072 0.000 0.000
0.000 4.072 0.000
0.000 0.000 8.241
Mg Pa B
1 1 12
direct
0.000 0.000 0.000
0.000 0.000 0.500
0.198 0.500 0.251
0.198 0.500 0.749
0.500 0.198 0.251
0.500 0.198 0.749
0.500 0.500 0.100
0.500 0.500 0.402
0.500 0.500 0.598
0.500 0.500 0.900
0.500 0.802 0.251
0.500 0.802 0.749
0.802 0.500 0.251
0.802 0.500 0.749
```

no.,volume (Å³/f.u.),DOS(E_F) (states/eV/cell),total magnetization (μB per atom)
1,96,1.97,0.00
2,109,2.91,0.04
3,110,4.25,0.00
4,107,4.79,0.00
5,123,3.01,0.00
6,117,3.40,0.44
7,65,11.55,0.00
8,137,4.11,0.07